# NaBi2IrO6 | OQMD | GGA-PBE | optimized geometry
data_NaBi2IrO6
_space_group_name_H-M_alt 'P 1 21/c 1'
_space_group_IT_number 14
_cell_length_a 5.522
_cell_length_b 6.014
_cell_length_c 9.615
_cell_angle_alpha 90.00
_cell_angle_beta 124.51
_cell_angle_gamma 90.00
loop_
_space_group_symop_operation_xyz
'x,y,z'
'-x,-y,-z'
'-x,y+1/2,-z+1/2'
'x,-y+1/2,z+1/2'
loop_
_atom_site_label
_atom_site_fract_x
_atom_site_fract_y
_atom_site_fract_z
Na1 0.000 0.000 0.000
Bi1 0.222 0.061 0.731
Ir1 0.500 0.000 0.500
O1 0.154 0.160 0.470
O2 0.252 0.734 0.419
O3 0.397 0.070 0.270
# calculated total energy: -118.74 eV/cell


# NaScBiIr | OQMD | GGA-PBE | optimized geometry
data_NaScBiIr
_space_group_name_H-M_alt 'F -4 3 m'
_space_group_IT_number 216
_space_group_name_Hall 'F -4 2 3'
_cell_length_a 6.883
_cell_length_b 6.883
_cell_length_c 6.883
_cell_angle_alpha 90.00
_cell_angle_beta 90.00
_cell_angle_gamma 90.00
loop_
_atom_site_label
_atom_site_fract_x
_atom_site_fract_y
_atom_site_fract_z
Na1 0.000 0.000 0.000
Sc1 0.000 0.000 0.500
Bi1 0.250 0.250 0.250
Ir1 0.250 0.250 0.750
# relative energy among the computed polymorphs: 0.192 eV per atom


# NaScBiIr | OQMD | GGA-PBE | optimized geometry
data_NaScBiIr
_space_group_name_H-M_alt 'F -4 3 m'
_space_group_IT_number 216
_space_group_name_Hall 'F -4 2 3'
_cell_length_a 6.769
_cell_length_b 6.769
_cell_length_c 6.769
_cell_angle_alpha 90.00
_cell_angle_beta 90.00
_cell_angle_gamma 90.00
loop_
_atom_site_label
_atom_site_fract_x
_atom_site_fract_y
_atom_site_fract_z
Na1 0.000 0.000 0.000
Sc1 0.250 0.250 0.250
Bi1 0.250 0.250 0.750
Ir1 0.000 0.000 0.500
# relative energy among the computed polymorphs: 0.000 eV per atom